Here is an optimized crystal structure of HoSc2Cu4Si2Ge2 from OQMD. Energies are from PBE.

Results
Its calculated volume is 176.33 Å³/cell. The value obtained for the energy above the most stable polymorph in this dataset is 0.00 eV/f.u. As for the total magnetic moment: 0.00 μB/cell. As for the crystal system: orthorhombic. For the density, the calculation gives 6.69 g/cm3.

Structure (CIF):
```
data_HoSc2Cu4Si2Ge2
_chemical_formula_sum 'Ho1 Sc2 Cu4 Si2 Ge2'
_cell_length_a 7.7186
_cell_length_b 7.7186
_cell_length_c 7.7186
_cell_angle_alpha 150.01
_cell_angle_beta 129.33
_cell_angle_gamma 60.00
_symmetry_space_group_name_H-M 'P 1'
_symmetry_Int_Tables_number 1
loop_
_symmetry_equiv_pos_as_xyz
'x,y,z'
loop_
_atom_site_label
_atom_site_fract_x
_atom_site_fract_y
_atom_site_fract_z
_atom_site_occupancy
Si1 0.2209 0.2209 0.0000 1
Ge1 0.6883 0.5000 0.1883 1
Cu1 0.3685 0.6759 0.6926 1
Sc1 0.3727 0.8727 0.5000 1
Si2 0.7791 0.7791 0.0000 1
Cu2 0.9834 0.6760 0.3074 1
Sc2 0.6273 0.1273 0.5000 1
Cu3 0.6315 0.3240 0.3074 1
Ho1 0.0000 0.0000 0.0000 1
Cu4 0.0166 0.3240 0.6926 1
Ge2 0.3117 0.5000 0.8117 1
```


Here is an optimized crystal structure of DyHoIn from OQMD. Energies are from PBE.

Results
Its calculated volume is 167.64 Å³/cell. The value obtained for the energy above the most stable polymorph in this dataset is 0.00 eV/f.u. As for the total magnetic moment: 0.70 μB/cell. As for the crystal system: hexagonal. For the density, the calculation gives 8.76 g/cm3.

Structure (CIF):
```
data_DyHoIn
_chemical_formula_sum 'Dy2 Ho2 In2'
_cell_length_a 5.3749
_cell_length_b 5.3749
_cell_length_c 6.7004
_cell_angle_alpha 90.00
_cell_angle_beta 90.00
_cell_angle_gamma 120.00
_symmetry_space_group_name_H-M 'P 1'
_symmetry_Int_Tables_number 1
loop_
_symmetry_equiv_pos_as_xyz
'x,y,z'
loop_
_atom_site_label
_atom_site_fract_x
_atom_site_fract_y
_atom_site_fract_z
_atom_site_occupancy
In1 0.6667 0.3333 0.2500 1
Dy1 0.0000 0.0000 0.5000 1
Ho1 0.6667 0.3333 0.7500 1
In2 0.3333 0.6667 0.7500 1
Dy2 0.0000 0.0000 0.0000 1
Ho2 0.3333 0.6667 0.2500 1
```


Here is an optimized crystal structure of SbPt15 from OQMD. Energies are from PBE.

Results
Its calculated volume is 697.53 Å³/cell. The value obtained for the energy above the most stable polymorph in this dataset is 0.53 eV/f.u. As for the total magnetic moment: 0.08 μB/cell. As for the crystal system: monoclinic. For the density, the calculation gives 14.51 g/cm3.

Structure (CIF):
```
data_SbPt15
_chemical_formula_sum 'Sb2 Pt30'
_cell_length_a 5.5326
_cell_length_b 2.8194
_cell_length_c 44.7179
_cell_angle_alpha 90.00
_cell_angle_beta 90.00
_cell_angle_gamma 90.00
_symmetry_space_group_name_H-M 'P 1'
_symmetry_Int_Tables_number 1
loop_
_symmetry_equiv_pos_as_xyz
'x,y,z'
loop_
_atom_site_label
_atom_site_fract_x
_atom_site_fract_y
_atom_site_fract_z
_atom_site_occupancy
Pt1 0.1256 0.7500 0.3018 1
Pt2 0.3750 0.2500 0.4337 1
Pt3 0.8750 0.2500 0.1686 1
Pt4 0.8750 0.2500 0.4337 1
Pt5 0.6250 0.7500 0.6540 1
Pt6 0.6251 0.7500 0.4779 1
Sb1 0.6251 0.7500 0.8372 1
Pt7 0.6250 0.7500 0.7429 1
Pt8 0.1249 0.7500 0.4779 1
Pt9 0.8751 0.2500 0.5221 1
Sb2 0.3749 0.2500 0.1628 1
Pt10 0.8750 0.2500 0.2572 1
Pt11 0.3749 0.2500 0.5221 1
Pt12 0.1250 0.7500 0.7428 1
Pt13 0.8750 0.2500 0.6102 1
Pt14 0.6214 0.7500 0.2119 1
Pt15 0.1250 0.7500 0.8314 1
Pt16 0.3750 0.2500 0.3460 1
Pt17 0.3750 0.2500 0.2571 1
Pt18 0.8713 0.2500 0.7881 1
Pt19 0.6244 0.7500 0.3018 1
Pt20 0.8744 0.2500 0.6982 1
Pt21 0.3756 0.2500 0.6982 1
Pt22 0.6250 0.7500 0.3898 1
Pt23 0.1287 0.7500 0.2119 1
Pt24 0.1250 0.7500 0.3898 1
Pt25 0.1250 0.7500 0.5663 1
Pt26 0.6250 0.7500 0.5663 1
Pt27 0.8750 0.2500 0.3460 1
Pt28 0.3750 0.2500 0.6102 1
Pt29 0.3786 0.2500 0.7881 1
Pt30 0.1250 0.7500 0.6540 1
```


Here is an optimized crystal structure of BaNiAsAu from OQMD. Energies are from PBE.

Results
Its calculated volume is 89.06 Å³/cell. The value obtained for the energy above the most stable polymorph in this dataset is 0.24 eV/f.u. As for the total magnetic moment: 0.33 μB/cell. As for the crystal system: cubic. For the density, the calculation gives 8.72 g/cm3.

Structure (CIF):
```
data_BaNiAsAu
_chemical_formula_sum 'Ba1 Ni1 As1 Au1'
_cell_length_a 5.0127
_cell_length_b 5.0127
_cell_length_c 5.0127
_cell_angle_alpha 60.00
_cell_angle_beta 60.00
_cell_angle_gamma 60.00
_symmetry_space_group_name_H-M 'P 1'
_symmetry_Int_Tables_number 1
loop_
_symmetry_equiv_pos_as_xyz
'x,y,z'
loop_
_atom_site_label
_atom_site_fract_x
_atom_site_fract_y
_atom_site_fract_z
_atom_site_occupancy
As1 0.0000 0.0000 0.0000 1
Ni1 0.5000 0.5000 0.5000 1
Ba1 0.2500 0.2500 0.2500 1
Au1 0.7500 0.7500 0.7500 1
```


Here is an optimized crystal structure of ErSnPO from OQMD. Energies are from PBE.

Results
Its calculated volume is 189.68 Å³/cell. The value obtained for the energy above the most stable polymorph in this dataset is 0.00 eV/f.u. As for the total magnetic moment: 0.01 μB/cell. As for the crystal system: orthorhombic. For the density, the calculation gives 5.83 g/cm3.

Structure (CIF):
```
data_ErSnPO
_chemical_formula_sum 'Er2 Sn2 P2 O2'
_cell_length_a 3.9179
_cell_length_b 8.3027
_cell_length_c 5.8312
_cell_angle_alpha 90.00
_cell_angle_beta 90.00
_cell_angle_gamma 90.00
_symmetry_space_group_name_H-M 'P 1'
_symmetry_Int_Tables_number 1
loop_
_symmetry_equiv_pos_as_xyz
'x,y,z'
loop_
_atom_site_label
_atom_site_fract_x
_atom_site_fract_y
_atom_site_fract_z
_atom_site_occupancy
Sn1 0.5000 0.1346 0.5299 1
Er1 0.0000 0.6563 0.4355 1
P1 0.0000 0.3267 0.4157 1
Er2 0.0000 0.3436 0.9355 1
O1 0.5000 0.2546 0.8729 1
P2 0.0000 0.6733 0.9157 1
O2 0.5000 0.7454 0.3729 1
Sn2 0.5000 0.8654 0.0299 1
```


Here is an optimized crystal structure of PrZnPt from OQMD. Energies are from PBE.

Results
Its calculated volume is 74.46 Å³/cell. For the formation energy, the calculation gives -200 kJ/mol of formula units. As for the total magnetic moment: 0.00 μB/cell. As for the crystal system: cubic. For the density, the calculation gives 8.95 g/cm3.

Structure (CIF):
```
data_PrZnPt
_chemical_formula_sum 'Pr1 Zn1 Pt1'
_cell_length_a 4.7222
_cell_length_b 4.7222
_cell_length_c 4.7222
_cell_angle_alpha 60.00
_cell_angle_beta 60.00
_cell_angle_gamma 60.00
_symmetry_space_group_name_H-M 'P 1'
_symmetry_Int_Tables_number 1
loop_
_symmetry_equiv_pos_as_xyz
'x,y,z'
loop_
_atom_site_label
_atom_site_fract_x
_atom_site_fract_y
_atom_site_fract_z
_atom_site_occupancy
Zn1 0.7500 0.7500 0.7500 1
Pr1 0.2500 0.2500 0.2500 1
Pt1 0.0000 0.0000 0.0000 1
```


Here is an optimized crystal structure of La2HoAl7Cu2 from OQMD. Energies are from PBE.

Results
Its calculated volume is 234.12 Å³/cell. The total energy comes out at -53.5 eV per cell. As for the total magnetic moment: 0.00 μB/cell. As for the crystal system: trigonal. For the density, the calculation gives 5.38 g/cm3.

Structure (CIF):
```
data_La2HoAl7Cu2
_chemical_formula_sum 'La2 Ho1 Al7 Cu2'
_cell_length_a 9.2470
_cell_length_b 9.2470
_cell_length_c 9.2470
_cell_angle_alpha 35.15
_cell_angle_beta 35.15
_cell_angle_gamma 35.15
_symmetry_space_group_name_H-M 'P 1'
_symmetry_Int_Tables_number 1
loop_
_symmetry_equiv_pos_as_xyz
'x,y,z'
loop_
_atom_site_label
_atom_site_fract_x
_atom_site_fract_y
_atom_site_fract_z
_atom_site_occupancy
Al1 0.4219 0.9292 0.4219 1
La1 0.1422 0.1422 0.1422 1
Ho1 0.0000 0.0000 0.0000 1
Al2 0.9292 0.4219 0.4219 1
Cu1 0.6646 0.6646 0.6646 1
Al3 0.0708 0.5781 0.5781 1
La2 0.8578 0.8578 0.8578 1
Al4 0.5000 0.5000 0.5000 1
Cu2 0.3354 0.3354 0.3354 1
Al5 0.4219 0.4219 0.9292 1
Al6 0.5781 0.0708 0.5781 1
Al7 0.5781 0.5781 0.0708 1
```


Here is an optimized crystal structure of Pr2SmB2N4 from OQMD. Energies are from PBE.

Results
Its calculated volume is 119.88 Å³/cell. The total energy comes out at -72.4 eV per cell. As for the total magnetic moment: 0.00 μB/cell. As for the crystal system: orthorhombic. For the density, the calculation gives 7.06 g/cm3.

Structure (CIF):
```
data_Pr2SmB2N4
_chemical_formula_sum 'Pr2 Sm1 B2 N4'
_cell_length_a 6.5184
_cell_length_b 6.5184
_cell_length_c 6.5184
_cell_angle_alpha 148.72
_cell_angle_beta 122.46
_cell_angle_gamma 66.96
_symmetry_space_group_name_H-M 'P 1'
_symmetry_Int_Tables_number 1
loop_
_symmetry_equiv_pos_as_xyz
'x,y,z'
loop_
_atom_site_label
_atom_site_fract_x
_atom_site_fract_y
_atom_site_fract_z
_atom_site_occupancy
N1 0.3586 0.6178 0.7408 1
B1 0.3564 0.5000 0.8564 1
N2 0.8770 0.6178 0.2592 1
N3 0.1230 0.3822 0.7408 1
B2 0.6436 0.5000 0.1436 1
Pr1 0.7014 0.2014 0.5000 1
Pr2 0.2986 0.7986 0.5000 1
N4 0.6415 0.3822 0.2592 1
Sm1 0.0000 0.0000 0.0000 1
```


Here is an optimized crystal structure of Tm3Ga3Ni2Ge from OQMD. Energies are from PBE.

Results
Its calculated volume is 171.46 Å³/cell. The value obtained for the energy above the most stable polymorph in this dataset is 3.08 eV/f.u. As for the total magnetic moment: 0.01 μB/cell. As for the crystal system: hexagonal. For the density, the calculation gives 8.77 g/cm3.

Structure (CIF):
```
data_Tm3Ga3Ni2Ge
_chemical_formula_sum 'Tm3 Ga3 Ni2 Ge1'
_cell_length_a 7.7327
_cell_length_b 7.7327
_cell_length_c 3.3112
_cell_angle_alpha 90.00
_cell_angle_beta 90.00
_cell_angle_gamma 120.00
_symmetry_space_group_name_H-M 'P 1'
_symmetry_Int_Tables_number 1
loop_
_symmetry_equiv_pos_as_xyz
'x,y,z'
loop_
_atom_site_label
_atom_site_fract_x
_atom_site_fract_y
_atom_site_fract_z
_atom_site_occupancy
Ge1 0.0000 0.0000 0.5000 1
Ga1 0.6198 0.0000 0.5000 1
Ni1 0.3333 0.6667 0.0000 1
Ni2 0.6667 0.3333 0.0000 1
Tm1 0.6951 0.6951 0.0000 1
Tm2 0.3049 0.0000 0.0000 1
Tm3 0.0000 0.3049 0.0000 1
Ga2 0.0000 0.6198 0.5000 1
Ga3 0.3802 0.3802 0.5000 1
```


Here is an optimized crystal structure of Cs2Zn2O5 from OQMD. Energies are from PBE.

Results
Its calculated volume is 177.43 Å³/cell. The value obtained for the energy above the most stable polymorph in this dataset is 2.72 eV/f.u. As for the crystal system: tetragonal. For the density, the calculation gives 4.46 g/cm3.

Structure (CIF):
```
data_Cs2Zn2O5
_chemical_formula_sum 'Cs2 Zn2 O5'
_cell_length_a 11.3807
_cell_length_b 3.9484
_cell_length_c 3.9484
_cell_angle_alpha 90.00
_cell_angle_beta 90.00
_cell_angle_gamma 90.00
_symmetry_space_group_name_H-M 'P 1'
_symmetry_Int_Tables_number 1
loop_
_symmetry_equiv_pos_as_xyz
'x,y,z'
loop_
_atom_site_label
_atom_site_fract_x
_atom_site_fract_y
_atom_site_fract_z
_atom_site_occupancy
O1 0.0647 0.0000 0.5000 1
O2 0.9353 0.5000 0.0000 1
Cs1 0.7495 0.5000 0.5000 1
Zn1 0.0000 0.0000 0.0000 1
Cs2 0.2505 0.5000 0.5000 1
O3 0.5000 0.5000 0.5000 1
Zn2 0.5000 0.0000 0.0000 1
O4 0.9353 0.0000 0.5000 1
O5 0.0647 0.5000 0.0000 1
```